This record from Alexandria via LeMat-Bulk describes a relaxed structure of ScBePRu2. The functional is GGA-PBE.

Calculated values
VASP energy: -34.6 eV/cell
Space group: P4/mmm
Formation energy: -110 meV/atom

Cell: 4.4061 4.0064 4.4061 Å, 90.00 90.00 90.00°
Closest atoms and distances in Å follow each position.
Element x y z (fractional)
Sc (0.5000, 0.5000, 0.5000)  8 Ru 2.98, 4 Be 3.12
P (0.0000, 0.0000, 0.0000)  2 Be 2.00, 4 Ru 2.20
Ru (0.5000, 0.0000, 0.0000)  2 P 2.20
Ru (0.0000, 0.0000, 0.5000)  2 P 2.20
Be (0.0000, 0.5000, 0.0000)  2 P 2.00

This record from Alexandria via LeMat-Bulk describes a relaxed structure of LiCe2Tl8. The functional is GGA-PBE.

Calculated values
VASP energy: -34.8 eV/cell
Space group: P4/mmm
Formation energy: -192 meV/atom

Cell: 4.8736 4.8736 12.7143 Å, 90.00 90.00 90.00°
Closest atoms and distances in Å follow each position.
Element x y z (fractional)
Tl (0.5000, 0.5000, 0.3120)  8 Tl 3.39-3.41, 4 Ce 3.45
Tl (0.5000, 0.0000, 0.5000)  8 Tl 3.41-3.45, 4 Ce 3.42
Tl (0.0000, 0.5000, 0.8728)  2 Li 2.92, 1 Tl 3.23
Tl (0.0000, 0.5000, 0.1272)  2 Li 2.92, 1 Tl 3.23
Tl (0.0000, 0.5000, 0.5000)  8 Tl 3.41-3.45, 4 Ce 3.42
Tl (0.5000, 0.5000, 0.6880)  8 Tl 3.39-3.41, 4 Ce 3.45
Tl (0.5000, 0.0000, 0.1272)  2 Li 2.92, 1 Tl 3.23
Tl (0.5000, 0.0000, 0.8728)  2 Li 2.92, 1 Tl 3.23
Ce (0.0000, 0.0000, 0.6882)  12 Tl 3.38-3.45
Ce (0.0000, 0.0000, 0.3118)  12 Tl 3.38-3.45
Li (0.0000, 0.0000, 0.0000)  8 Tl 2.92